Record 1
First-principles (PBE) data for a geometry-optimized Hg3BrN structure, as listed in the Alexandria database.

Unit cell a=6.0116 b=7.5111 c=7.7169 alpha=105.69 beta=110.82 gamma=95.55
Space group P-1 (No. 2)
Unique sites:
Hg 0.0387 0.3951 0.3501 x2
Hg 0.2380 0.9114 0.1164 x2
Hg 0.3395 0.3959 0.0342 x2
Br 0.3127 0.0020 0.6603 x2
N 0.1114 0.2232 0.1121 x2

Values from the calculation:
* density: 7.54 g cm⁻³
* raw total energy: -18.73 eV per cell
* total magnetization: 0.00 μB per cell

=====

Record 2
First-principles (PBE) data for a geometry-optimized Hg2BrN structure, as listed in the Alexandria database.

Unit cell a=4.0456 b=7.4588 c=7.8679 alpha=72.46 beta=89.97 gamma=89.60
Space group P-1 (No. 2)
Unique sites:
Hg 0.2427 0.3198 0.3180 x2
Hg 0.2519 0.9003 0.3130 x2
Br 0.2461 0.2619 0.9206 x2
N 0.2469 0.2042 0.6858 x2

Values from the calculation:
* density: 7.26 g cm⁻³
* raw total energy: -15.52 eV per cell
* total magnetization: 0.00 μB per cell

=====

Record 3
First-principles (PBE) data for a geometry-optimized Hg3BrN2 structure, as listed in the Alexandria database.

Unit cell a=9.9822 b=7.2374 c=10.7880 alpha=90.00 beta=110.22 gamma=90.00
Space group C2/c (No. 15)
Unique sites:
Hg 0.0000 0.0586 0.2500 x4
Hg 0.1158 0.1941 0.0730 x8
Br 0.0000 0.3938 0.7500 x4
N 0.1298 0.2434 0.8685 x8

Values from the calculation:
* density: 6.45 g cm⁻³
* raw total energy: -51.56 eV per cell
* total magnetization: 0.00 μB per cell

=====

Record 4
First-principles (PBE) data for a geometry-optimized Hg2Br5N2 structure, as listed in the Alexandria database.

Unit cell a=19.0446 b=7.7405 c=10.8067 alpha=90.00 beta=90.00 gamma=90.00
Space group Ima2 (No. 46)
Unique sites:
Hg 0.0000 0.0000 0.0000 x4
Hg 0.2500 0.2435 0.0120 x4
Br 0.0577 0.2188 0.5191 x8
Br 0.1381 0.6519 0.8023 x8
Br 0.2500 0.2321 0.2622 x4
N 0.1036 0.6387 0.3317 x8

Values from the calculation:
* density: 3.46 g cm⁻³
* raw total energy: -81.29 eV per cell
* total magnetization: 16.02 μB per cell